First-principles (GGA-PBE) data for a relaxed RbHg3F crystal, as listed in the Alexandria database.

## Properties
total magnetization	0.00	μB/atom
energy relative to the elements, uncorrected	-0.6120	eV per atom
calculated volume	36.05	Å³ per atom
electronic total energy	-6.80	eV/cell

```
RbHg3F
1.0
5.6489 0.0000 0.0000
0.0000 5.6489 0.0000
0.0000 0.0000 5.6489
Hg Rb F
3 1 1
Direct
0.0000 0.0000 0.5000 Hg
0.5000 0.0000 0.0000 Hg
0.0000 0.5000 0.0000 Hg
0.5000 0.5000 0.5000 Rb
0.0000 0.0000 0.0000 F
```